Entry 1:
VASP calculation (PBE+U) on an optimized crystal structure of LiVN2F.

Lattice parameters (Å, degrees): 3.766 3.766 4.054 90.00 90.00 90.00
Element x y z (fractional)
Li  0.000  0.000  0.000
V  0.500  0.500  0.500
N  0.000  0.500  0.500
N  0.500  0.000  0.500
F  0.500  0.500  0.000

## Properties
- D(E_F) (states/eV/f.u.) = 0.85
- energy relative to the lowest polymorph listed for this composition (meV per atom) = 0
- calculated density (g/cm3) = 3.03
- V (Å³ per atom) = 11.500
- raw total energy (eV per atom) = -6.0517



Entry 2:
VASP calculation (PBE+U) on an optimized crystal structure of LiWN2F.

Lattice parameters (Å, degrees): 3.952 3.952 3.032 90.00 90.00 90.00
Element x y z (fractional)
Li  0.000  0.000  0.000
W  0.500  0.500  0.000
N  0.000  0.500  0.500
N  0.500  0.000  0.500
F  0.000  0.000  0.500

## Properties
- D(E_F) (states/eV/f.u.) = 1.80
- energy relative to the lowest polymorph listed for this composition (meV per atom) = 1455
- calculated density (g/cm3) = 8.34
- V (Å³ per atom) = 9.469
- raw total energy (eV per atom) = -4.6284



Entry 3:
VASP calculation (PBE+U) on an optimized crystal structure of LiWN2F.

Lattice parameters (Å, degrees): 3.726 3.726 3.295 90.00 90.00 90.00
Element x y z (fractional)
Li  0.000  0.000  0.000
W  0.500  0.500  0.500
N  0.000  0.500  0.000
N  0.500  0.000  0.000
F  0.000  0.000  0.500

## Properties
- D(E_F) (states/eV/f.u.) = 1.48
- energy relative to the lowest polymorph listed for this composition (meV per atom) = 1060
- calculated density (g/cm3) = 8.63
- V (Å³ per atom) = 9.151
- raw total energy (eV per atom) = -5.0226



Entry 4:
VASP calculation (PBE+U) on an optimized crystal structure of LiWN2F.

Lattice parameters (Å, degrees): 3.957 3.957 4.116 90.00 90.00 90.00
Element x y z (fractional)
Li  0.000  0.000  0.000
W  0.500  0.500  0.500
N  0.000  0.500  0.500
N  0.500  0.000  0.500
F  0.500  0.500  0.000

## Properties
- D(E_F) (states/eV/f.u.) = 0.79
- energy relative to the lowest polymorph listed for this composition (meV per atom) = 0
- calculated density (g/cm3) = 6.13
- V (Å³ per atom) = 12.887
- raw total energy (eV per atom) = -6.0830



Look up the energy relative to the lowest polymorph listed for this composition of the first one.
0 meV per atom